Entry 1:
An optimized crystal structure of CaNbCu, computed with PBE-GGA.

As for the energy of formation from the pure elements: 404 meV per atom. Its final energy is -4.985 eV per atom. Its energy above the most stable polymorph in this dataset is 251 meV/atom.

Cell: 2.837 5.679 7.827 Å, 74.45 80.55 76.44°
Fractional positions:
Ca 0.000 0.000 0.000
Ca 0.336 0.881 0.410
Nb 0.319 0.549 0.809
Nb 0.669 0.455 0.171
Cu 0.036 0.384 0.517
Cu 0.634 0.027 0.688

---

Entry 2:
An optimized crystal structure of Na2SnAs2, computed with PBE-GGA.

As for the energy of formation from the pure elements: -322 meV per atom. Its final energy is -3.510 eV per atom. Its energy above the most stable polymorph in this dataset is 35 meV/atom.

Cell: 7.591 7.591 6.992 Å, 117.40 117.40 96.11°
Fractional positions:
Na 0.013 0.741 0.877
Na 0.259 0.987 0.623
Na 0.741 0.013 0.377
Na 0.987 0.259 0.123
Sn 0.500 0.500 0.250
Sn 0.500 0.500 0.750
As 0.175 0.400 0.788
As 0.400 0.175 0.288
As 0.600 0.825 0.712
As 0.825 0.600 0.212

---

Entry 3:
An optimized crystal structure of VHg2S4, computed with PBE-GGA.

Its final energy is -3.698 eV per atom.

Cell: 7.113 7.113 7.113 Å, 138.74 138.74 59.77°
Fractional positions:
V 0.000 0.000 0.000
Hg 0.379 0.379 0.000
Hg 0.621 0.621 0.000
S 0.000 0.500 0.500
S 0.180 0.180 0.000
S 0.500 0.000 0.500
S 0.820 0.820 0.000

---

Entry 4:
An optimized crystal structure of Mg2TlHg, computed with PBE-GGA.

As for the energy of formation from the pure elements: -110 meV per atom. Its final energy is -1.575 eV per atom.

Cell: 9.234 9.234 9.234 Å, 21.97 21.97 21.97°
Fractional positions:
Mg 0.245 0.245 0.245
Mg 0.755 0.755 0.755
Tl 0.000 0.000 0.000
Hg 0.500 0.500 0.500